(a)
DFT (PBE) results for a relaxed structure of Na2SrCa6.

As for the density: 1.64 g/cm³.

The structure belongs to space group C2/m (No. 12); the cell edges are 14.364, 4.178 and 13.266 Å and the angles 90.00°, 108.16° and 90.00°. The distinct sites, in fractional coordinates, are Na at (0.161, 0.000, 0.229), Sr at (0.000, 0.500, 0.000), Ca at (0.008, 0.500, 0.339), Ca at (0.173, 0.000, 0.567) and Ca at (0.181, 0.000, 0.877).


(b)
DFT (PBE) results for a relaxed structure of Na2SrCa6.

As for the density: 1.61 g/cm³.

The structure belongs to space group P-6m2 (No. 187); the cell edges are 3.9169, 3.9169 and 29.1256 Å and the angles 90.00°, 90.00° and 120.00°. The distinct sites, in fractional coordinates, are Na at (0.0000, 0.0000, 0.1681), Sr at (0.6667, 0.3333, 0.5000), Ca at (0.0000, 0.0000, 0.3840), Ca at (0.6667, 0.3333, 0.0617) and Ca at (0.6667, 0.3333, 0.2754).


Least stable: (b)


(a)
DFT (PBE) results for a relaxed structure of Na3Sr3Ca.

As for the density: 1.91 g/cm³.

The structure belongs to space group C2/m (No. 12); the cell edges are 16.450, 13.155 and 6.497 Å and the angles 90.00°, 113.03° and 90.00°. The distinct sites, in fractional coordinates, are Na at (0.105, 0.000, 0.108), Na at (0.223, 0.222, 0.223), Sr at (0.000, 0.165, 0.500), Sr at (0.000, 0.352, 0.000), Sr at (0.125, 0.500, 0.624) and Ca at (0.236, 0.000, 0.737).


(b)
DFT (PBE) results for a relaxed structure of Na3Sr3Ca.

As for the density: 1.44 g/cm³.

The structure belongs to space group Pm-3n (No. 223); the cell edges are 9.498, 9.498 and 9.498 Å and the angles 90.00°, 90.00° and 90.00°. The distinct sites, in fractional coordinates, are Na at (0.000, 0.250, 0.500), Sr at (0.000, 0.500, 0.250) and Ca at (0.000, 0.000, 0.000).


(c)
DFT (PBE) results for a relaxed structure of Na3Sr3Ca.

As for the density: 1.89 g/cm³.

The structure belongs to space group Cmmm (No. 65); the cell edges are 11.519, 13.025 and 8.731 Å and the angles 90.00°, 90.00° and 90.00°. The distinct sites, in fractional coordinates, are Na at (0.000, 0.000, 0.235), Na at (0.250, 0.250, 0.239), Sr at (0.000, 0.229, 0.500), Sr at (0.197, 0.500, 0.000), Sr at (0.206, 0.500, 0.500) and Ca at (0.000, 0.231, 0.000).


Least stable: (b)


(a)
DFT (PBE) results for a relaxed structure of NaSrCa4.

As for the density: 1.72 g/cm³.

The structure belongs to space group C2/c (No. 15); the cell edges are 12.178, 6.688 and 13.457 Å and the angles 90.00°, 107.77° and 90.00°. The distinct sites, in fractional coordinates, are Na at (0.000, 0.113, 0.250), Sr at (0.250, 0.250, 0.500), Ca at (0.084, 0.250, 0.007) and Ca at (0.161, 0.374, 0.751).


(b)
DFT (PBE) results for a relaxed structure of NaSrCa4.

As for the density: 1.60 g/cm³.

The structure belongs to space group F-43m (No. 216); the cell edges are 10.396, 10.396 and 10.396 Å and the angles 90.00°, 90.00° and 90.00°. The distinct sites, in fractional coordinates, are Na at (0.000, 0.000, 0.000), Sr at (0.250, 0.250, 0.750) and Ca at (0.125, 0.125, 0.375).


(c)
DFT (PBE) results for a relaxed structure of NaSrCa4.

As for the density: 1.74 g/cm³.

The structure belongs to space group P4/mmm (No. 123); the cell edges are 3.936, 3.936 and 16.665 Å and the angles 90.00°, 90.00° and 90.00°. The distinct sites, in fractional coordinates, are Na at (0.000, 0.000, 0.000), Sr at (0.500, 0.500, 0.500), Ca at (0.000, 0.000, 0.318) and Ca at (0.500, 0.500, 0.154).


Least stable: (b)


(a)
DFT (PBE) results for a relaxed structure of Na4Sr5Ca2.

As for the density: 1.92 g/cm³.

The structure belongs to space group C2/m (No. 12); the cell edges are 27.642, 3.934 and 9.698 Å and the angles 90.00°, 93.12° and 90.00°. The distinct sites, in fractional coordinates, are Na at (0.042, 0.000, 0.365), Na at (0.167, 0.500, 0.471), Sr at (0.000, 0.500, 0.000), Sr at (0.136, 0.000, 0.110), Sr at (0.231, 0.000, 0.804) and Ca at (0.089, 0.000, 0.730).


(b)
DFT (PBE) results for a relaxed structure of Na4Sr5Ca2.

As for the density: 1.92 g/cm³.

The structure belongs to space group Immm (No. 71); the cell edges are 4.060, 10.738 and 24.209 Å and the angles 90.00°, 90.00° and 90.00°. The distinct sites, in fractional coordinates, are Na at (0.000, 0.000, 0.222), Na at (0.000, 0.292, 0.500), Sr at (0.000, 0.203, 0.347), Sr at (0.000, 0.500, 0.000) and Ca at (0.000, 0.000, 0.081).


Least stable: (b)